A relaxed Ba2ZrTl crystal. Source: the Alexandria database, functional PBE-GGA.

total magnetization = 0.000 μB/atom
N(E_F) = 9.47 states/eV/cell
E_form = 0.4316 eV per atom
crystal system = monoclinic

a = 12.2455 Å, b = 3.7095 Å, c = 6.2930 Å
α = 90.00°, β = 100.13°, γ = 90.00°
Last column: nearest neighbours and their distance in Å.
Space group C2/m (No. 12)
Unique sites:
Ba: 0.2383 0.0000 0.2433  3 Tl 3.57-3.79, 3 Zr 3.58-3.81, 6 Ba 3.63-3.71
Zr: 0.0000 0.0000 0.5000  6 Ba 3.58-3.81, 4 Tl 3.65, 2 Zr 3.71
Tl: 0.0000 0.5000 0.0000  6 Ba 3.57-3.79, 4 Zr 3.65, 2 Tl 3.71

---

A relaxed Fe2AgIr crystal. Source: the Alexandria database, functional PBE-GGA.

total magnetization = 1.450 μB/atom
N(E_F) = 2.88 states/eV/cell
E_form = 0.1988 eV per atom
crystal system = orthorhombic

a = 2.7232 Å, b = 3.7853 Å, c = 5.5493 Å
α = 90.00°, β = 90.00°, γ = 90.00°
Last column: nearest neighbours and their distance in Å.
Space group Pmmm (No. 47)
Unique sites:
Fe: 0.0000 0.0000 0.2183  1 Fe 2.42, 4 Ir 2.63
Ag: 0.5000 0.5000 0.5000  2 Ag 2.72, 2 Ir 2.77, 8 Fe 2.81
Ir: 0.5000 0.5000 0.0000  8 Fe 2.63, 2 Ir 2.72, 2 Ag 2.77